This record from the Alexandria database describes a geometry-optimized YCoW2 structure. The functional is PBE-GGA.

Cell: 5.446 5.446 2.768 Å, 90.00 90.00 121.70°
Each line ends with the local moment (μB).
Sites, in units of the cell vectors:
W  0.500  0.500  0.000  0.04
W  0.000  0.000  0.000  0.04
Co  0.000  0.500  0.500  1.13
Y  0.500  0.000  0.500  -0.05

## Properties
Total energy ... -9.15 eV/atom
Calculated formation energy ... 0.72 eV per atom
Space group ... Cmmm (65)
Distance to the lowest polymorph of the same formula ... 439 meV/atom